18
Lattice="7.757 0.000 0.000 0.000 3.644 3.623 0.000 -3.644 3.623" Properties=species:S:1:pos:R:3 comment="NdMn4CoO12 GGA+U optimized geometry" crystal_system=orthorhombic dos_at_fermi_per_ev_atom=0.599 e_tot_ev_per_fu=-121.67 spacegroup="Amm2, No. 38" pbc="T T T"
Nd 0.000 0.000 0.000
Mn 2.023 -1.814 2.062
Mn 2.023 1.814 2.062
Mn 5.734 -1.814 2.062
Mn 5.734 1.814 2.062
Co 3.879 0.000 4.052
O 0.000 -1.457 2.132
O 0.000 1.457 2.132
O 1.552 0.000 5.251
O 1.974 -2.355 3.883
O 1.974 2.355 3.883
O 2.533 0.000 2.673
O 3.879 -1.341 5.357
O 3.879 1.341 5.357
O 5.225 0.000 2.673
O 5.783 -2.355 3.883
O 5.783 2.355 3.883
O 6.205 0.000 5.251